[1]
Computed, not measured: an optimized crystal structure of YC2 at the GGA-PBE level of DFT.

## Properties
Volume (A^3/atom): 15.92
Formation energy (eV per atom): 0.125
E above lowest polymorph (meV/atom): 307.8

a = 3.611 Å, b = 3.611 Å, c = 8.463 Å
α = 90.00°, β = 90.00°, γ = 120.00°
Fractional coordinates of all 6 atoms:
C 0.000 0.000 0.924
C 0.000 0.000 0.076
C 0.000 0.000 0.424
C 0.000 0.000 0.576
Y 0.667 0.333 0.750
Y 0.333 0.667 0.250

***

[2]
Computed, not measured: an optimized crystal structure of Y5C7 at the GGA-PBE level of DFT.

## Properties
Volume (A^3/atom): 15.19
Formation energy (eV per atom): 0.005

a = 6.219 Å, b = 6.219 Å, c = 6.219 Å
α = 105.52°, β = 105.52°, γ = 117.71°
Fractional coordinates of all 12 atoms:
C 0.321 0.821 0.500
C 0.821 0.321 0.500
C 0.814 0.134 0.319
C 0.495 0.814 0.681
C 0.325 0.325 0.000
C 0.814 0.495 0.681
C 0.134 0.814 0.319
Y 0.302 0.715 0.000
Y 0.302 0.302 0.587
Y 0.715 0.302 0.000
Y 0.715 0.715 0.413
Y 0.940 0.940 0.000

***

[3]
Computed, not measured: an optimized crystal structure of YC2 at the GGA-PBE level of DFT.

## Properties
Volume (A^3/atom): 11.47
Formation energy (eV per atom): 0.202
E above lowest polymorph (meV/atom): 385.4

a = 5.013 Å, b = 5.013 Å, c = 5.129 Å
α = 90.00°, β = 90.00°, γ = 147.74°
Fractional coordinates of all 6 atoms:
Y 0.627 0.373 0.250
Y 0.373 0.627 0.750
C 0.907 0.093 0.250
C 0.339 0.661 0.250
C 0.093 0.907 0.750
C 0.661 0.339 0.750

***

[4]
Computed, not measured: an optimized crystal structure of YC2 at the GGA-PBE level of DFT.

## Properties
Volume (A^3/atom): 11.65
Formation energy (eV per atom): 1.816
E above lowest polymorph (meV/atom): 1999.4

a = 4.623 Å, b = 4.623 Å, c = 4.623 Å
α = 60.00°, β = 60.00°, γ = 60.00°
Fractional coordinates of all 6 atoms:
Y 0.750 0.750 0.750
Y 0.500 0.500 0.500
C 0.125 0.625 0.125
C 0.125 0.125 0.125
C 0.125 0.125 0.625
C 0.625 0.125 0.125

***

[5]
Computed, not measured: an optimized crystal structure of Y3C at the GGA-PBE level of DFT.

## Properties
Volume (A^3/atom): 30.27
Formation energy (eV per atom): 0.245
E above lowest polymorph (meV/atom): 409.0

a = 4.947 Å, b = 4.947 Å, c = 4.947 Å
α = 90.00°, β = 90.00°, γ = 90.00°
Fractional coordinates of all 4 atoms:
Y 0.500 0.000 0.000
Y 0.000 0.000 0.500
Y 0.000 0.500 0.000
C 0.000 0.000 0.000

***

[6]
Computed, not measured: an optimized crystal structure of YC2 at the GGA-PBE level of DFT.

## Properties
Volume (A^3/atom): 13.52
Formation energy (eV per atom): 1.397
E above lowest polymorph (meV/atom): 1580.7

a = 3.289 Å, b = 3.289 Å, c = 3.748 Å
α = 90.00°, β = 90.00°, γ = 90.00°
Fractional coordinates of all 3 atoms:
C 0.500 0.000 0.500
C 0.000 0.500 0.500
Y 0.000 0.000 0.000